1.
Material: EuHoBiAu
Method: DFT, PBE
State: relaxed

The structure belongs to space group F-43m (No. 216); the cell edges are 7.5989, 7.5989 and 7.5989 Å and the angles 90.00°, 90.00° and 90.00°. The distinct sites, in fractional coordinates, are Eu at (0.0000, 0.0000, 0.0000), Ho at (0.0000, 0.0000, 0.5000), Bi at (0.2500, 0.2500, 0.7500) and Au at (0.2500, 0.2500, 0.2500).

For the magnetization, the calculation gives 7.8 μB/f.u. As for the density: 10.94 g/cm³. The energy relative to the elements comes out at -15.9 kcal/mol of atoms.


2.
Material: EuInBiAu
Method: DFT, PBE
State: relaxed

The structure belongs to space group F-43m (No. 216); the cell edges are 7.5963, 7.5963 and 7.5963 Å and the angles 90.00°, 90.00° and 90.00°. The distinct sites, in fractional coordinates, are Eu at (0.0000, 0.0000, 0.0000), In at (0.0000, 0.0000, 0.5000), Bi at (0.2500, 0.2500, 0.7500) and Au at (0.2500, 0.2500, 0.2500).

For the magnetization, the calculation gives 6.9 μB/f.u. As for the density: 10.19 g/cm³. The energy relative to the elements comes out at -9.5 kcal/mol of atoms.


3.
Material: KEuBiAu
Method: DFT, PBE
State: relaxed

The structure belongs to space group F-43m (No. 216); the cell edges are 7.9099, 7.9099 and 7.9099 Å and the angles 90.00°, 90.00° and 90.00°. The distinct sites, in fractional coordinates, are K at (0.0000, 0.0000, 0.0000), Eu at (0.0000, 0.0000, 0.5000), Bi at (0.2500, 0.2500, 0.2500) and Au at (0.2500, 0.2500, 0.7500).

For the magnetization, the calculation gives 6.8 μB/f.u. As for the density: 8.01 g/cm³. The energy relative to the elements comes out at -10.8 kcal/mol of atoms.


4.
Material: LaEuBiAu
Method: DFT, PBE
State: relaxed

The structure belongs to space group F-43m (No. 216); the cell edges are 7.8141, 7.8141 and 7.8141 Å and the angles 90.00°, 90.00° and 90.00°. The distinct sites, in fractional coordinates, are La at (0.0000, 0.0000, 0.0000), Eu at (0.0000, 0.0000, 0.5000), Bi at (0.2500, 0.2500, 0.7500) and Au at (0.2500, 0.2500, 0.2500).

For the magnetization, the calculation gives 7.9 μB/f.u. As for the density: 9.70 g/cm³. The energy relative to the elements comes out at -18.3 kcal/mol of atoms.


5.
Material: LiEuBiAu
Method: DFT, PBE
State: relaxed

The structure belongs to space group F-43m (No. 216); the cell edges are 7.3712, 7.3712 and 7.3712 Å and the angles 90.00°, 90.00° and 90.00°. The distinct sites, in fractional coordinates, are Li at (0.0000, 0.0000, 0.0000), Eu at (0.0000, 0.0000, 0.5000), Bi at (0.2500, 0.2500, 0.7500) and Au at (0.2500, 0.2500, 0.2500).

For the magnetization, the calculation gives 6.8 μB/f.u. As for the density: 9.37 g/cm³. The energy relative to the elements comes out at -13.8 kcal/mol of atoms.


6.
Material: EuLuBiAu
Method: DFT, PBE
State: relaxed

The structure belongs to space group F-43m (No. 216); the cell edges are 7.5568, 7.5568 and 7.5568 Å and the angles 90.00°, 90.00° and 90.00°. The distinct sites, in fractional coordinates, are Eu at (0.0000, 0.0000, 0.0000), Lu at (0.0000, 0.0000, 0.5000), Bi at (0.2500, 0.2500, 0.7500) and Au at (0.2500, 0.2500, 0.2500).

For the magnetization, the calculation gives 7.5 μB/f.u. As for the density: 11.28 g/cm³. The energy relative to the elements comes out at -14.9 kcal/mol of atoms.


7.
Material: NdEuBiAu
Method: DFT, PBE
State: relaxed

The structure belongs to space group F-43m (No. 216); the cell edges are 7.7346, 7.7346 and 7.7346 Å and the angles 90.00°, 90.00° and 90.00°. The distinct sites, in fractional coordinates, are Nd at (0.0000, 0.0000, 0.0000), Eu at (0.0000, 0.0000, 0.5000), Bi at (0.2500, 0.2500, 0.2500) and Au at (0.2500, 0.2500, 0.7500).

For the magnetization, the calculation gives 8.0 μB/f.u. As for the density: 10.08 g/cm³. The energy relative to the elements comes out at -17.2 kcal/mol of atoms.


8.
Material: EuNpBiAu
Method: DFT, PBE
State: relaxed

The structure belongs to space group F-43m (No. 216); the cell edges are 7.6760, 7.6760 and 7.6760 Å and the angles 90.00°, 90.00° and 90.00°. The distinct sites, in fractional coordinates, are Eu at (0.0000, 0.0000, 0.0000), Np at (0.0000, 0.0000, 0.5000), Bi at (0.2500, 0.2500, 0.2500) and Au at (0.2500, 0.2500, 0.7500).

For the magnetization, the calculation gives 2.3 μB/f.u. As for the density: 11.67 g/cm³. The energy relative to the elements comes out at -6.1 kcal/mol of atoms.


9.
Material: EuPaBiAu
Method: DFT, PBE
State: relaxed

The structure belongs to space group F-43m (No. 216); the cell edges are 7.6280, 7.6280 and 7.6280 Å and the angles 90.00°, 90.00° and 90.00°. The distinct sites, in fractional coordinates, are Eu at (0.0000, 0.0000, 0.0000), Pa at (0.0000, 0.0000, 0.5000), Bi at (0.2500, 0.2500, 0.7500) and Au at (0.2500, 0.2500, 0.2500).

For the magnetization, the calculation gives 9.9 μB/f.u. As for the density: 11.81 g/cm³. The energy relative to the elements comes out at -6.9 kcal/mol of atoms.


10.
Material: EuBiPdAu
Method: DFT, PBE
State: relaxed

The structure belongs to space group F-43m (No. 216); the cell edges are 7.1955, 7.1955 and 7.1955 Å and the angles 90.00°, 90.00° and 90.00°. The distinct sites, in fractional coordinates, are Eu at (0.0000, 0.0000, 0.0000), Bi at (0.0000, 0.0000, 0.5000), Pd at (0.2500, 0.2500, 0.2500) and Au at (0.2500, 0.2500, 0.7500).

For the magnetization, the calculation gives 6.9 μB/f.u. As for the density: 11.84 g/cm³. The energy relative to the elements comes out at -12.7 kcal/mol of atoms.


11.
Material: PmEuBiAu
Method: DFT, PBE
State: relaxed

The structure belongs to space group F-43m (No. 216); the cell edges are 7.7062, 7.7062 and 7.7062 Å and the angles 90.00°, 90.00° and 90.00°. The distinct sites, in fractional coordinates, are Pm at (0.0000, 0.0000, 0.0000), Eu at (0.0000, 0.0000, 0.5000), Bi at (0.2500, 0.2500, 0.7500) and Au at (0.2500, 0.2500, 0.2500).

For the magnetization, the calculation gives 8.0 μB/f.u. As for the density: 10.20 g/cm³. The energy relative to the elements comes out at -17.1 kcal/mol of atoms.


12.
Material: EuBiPtAu
Method: DFT, PBE
State: relaxed

The structure belongs to space group F-43m (No. 216); the cell edges are 7.1878, 7.1878 and 7.1878 Å and the angles 90.00°, 90.00° and 90.00°. The distinct sites, in fractional coordinates, are Eu at (0.0000, 0.0000, 0.0000), Bi at (0.0000, 0.0000, 0.5000), Pt at (0.2500, 0.2500, 0.7500) and Au at (0.2500, 0.2500, 0.2500).

For the magnetization, the calculation gives 7.0 μB/f.u. As for the density: 13.47 g/cm³. The energy relative to the elements comes out at -12.5 kcal/mol of atoms.